# TiPdBr GGA-PBE optimized geometry
# - formation energy from raw total energies (eV/atom) = -0.364
data_TiPdBr
_chemical_formula_sum 'Ti2 Pd2 Br2'
_symmetry_space_group_name_H-M 'P 1'
_symmetry_Int_Tables_number 1
_symmetry_space_group_name_Hall 'P 1'
_cell_length_a 3.3317
_cell_length_b 3.3313
_cell_length_c 12.1922
_cell_angle_alpha 90.00
_cell_angle_beta 90.00
_cell_angle_gamma 120.00
loop_
_atom_site_label
_atom_site_type_symbol
_atom_site_fract_x
_atom_site_fract_y
_atom_site_fract_z
Pd1 Pd 0.3347 0.6695 0.0000
Pd2 Pd 0.3330 0.6660 0.5000
Br1 Br 0.3331 0.6662 0.2060
Br2 Br 0.3331 0.6662 0.7940
Ti1 Ti 0.6663 0.3327 0.3538
Ti2 Ti 0.6663 0.3327 0.6462

***

# CaTc2Br GGA-PBE optimized geometry
# - formation energy from raw total energies (eV/atom) = 0.743
# - distance to the lowest polymorph of the same formula (meV/atom) = 805
data_CaTc2Br
_chemical_formula_sum 'Ca1 Tc2 Br1'
_symmetry_space_group_name_H-M 'P 1'
_symmetry_Int_Tables_number 1
_symmetry_space_group_name_Hall 'P 1'
_cell_length_a 4.7097
_cell_length_b 4.7097
_cell_length_c 4.7097
_cell_angle_alpha 119.97
_cell_angle_beta 119.97
_cell_angle_gamma 90.05
loop_
_atom_site_label
_atom_site_type_symbol
_atom_site_fract_x
_atom_site_fract_y
_atom_site_fract_z
Br1 Br 0.5000 0.5000 0.0000
Ca1 Ca 0.7500 0.2500 0.5000
Tc1 Tc 0.2500 0.7500 0.5000
Tc2 Tc 0.0000 0.0000 0.0000

***

# Li2InCl GGA-PBE optimized geometry
# - formation energy from raw total energies (eV/atom) = -0.346
# - distance to the lowest polymorph of the same formula (meV/atom) = 558
data_Li2InCl
_chemical_formula_sum 'Li2 In1 Cl1'
_symmetry_space_group_name_H-M 'P 1'
_symmetry_Int_Tables_number 1
_symmetry_space_group_name_Hall 'P 1'
_cell_length_a 5.0415
_cell_length_b 5.0415
_cell_length_c 5.0415
_cell_angle_alpha 60.00
_cell_angle_beta 60.00
_cell_angle_gamma 60.00
loop_
_atom_site_label
_atom_site_type_symbol
_atom_site_fract_x
_atom_site_fract_y
_atom_site_fract_z
Li1 Li 0.7500 0.7500 0.7500
Li2 Li 0.2500 0.2500 0.2500
In1 In 0.5000 0.5000 0.5000
Cl1 Cl 0.0000 0.0000 0.0000

***

# BaRe2Hg GGA-PBE optimized geometry
# - DFT formation energy (eV per atom) = 1.4155
data_BaRe2Hg
_chemical_formula_sum 'Ba1 Re2 Hg1'
_symmetry_space_group_name_H-M 'P 1'
_symmetry_Int_Tables_number 1
_symmetry_space_group_name_Hall 'P 1'
_cell_length_a 10.9246
_cell_length_b 10.9246
_cell_length_c 10.9246
_cell_angle_alpha 15.64
_cell_angle_beta 15.64
_cell_angle_gamma 15.64
loop_
_atom_site_label
_atom_site_type_symbol
_atom_site_fract_x
_atom_site_fract_y
_atom_site_fract_z
Re1 Re 0.0102 0.0102 0.0102
Re2 Re 0.4898 0.4898 0.4898
Hg1 Hg 0.7500 0.7500 0.7500
Ba1 Ba 0.2500 0.2500 0.2500

***

# Cs2YI5 GGA-PBE optimized geometry
# - formation energy from raw total energies (eV/atom) = -1.502
# - distance to the lowest polymorph of the same formula (meV/atom) = 0
data_Cs2YI5
_chemical_formula_sum 'Cs8 Y4 I20'
_symmetry_space_group_name_H-M 'P 1'
_symmetry_Int_Tables_number 1
_symmetry_space_group_name_Hall 'P 1'
_cell_length_a 8.5159
_cell_length_b 10.9847
_cell_length_c 17.3983
_cell_angle_alpha 90.00
_cell_angle_beta 90.00
_cell_angle_gamma 90.00
loop_
_atom_site_label
_atom_site_type_symbol
_atom_site_fract_x
_atom_site_fract_y
_atom_site_fract_z
Cs1 Cs 0.7500 0.8179 0.5869
Cs2 Cs 0.2500 0.9550 0.8013
Cs3 Cs 0.2500 0.1821 0.4131
Cs4 Cs 0.2500 0.4550 0.6987
Cs5 Cs 0.7500 0.0450 0.1987
Cs6 Cs 0.7500 0.3179 0.9131
Cs7 Cs 0.7500 0.5450 0.3013
Cs8 Cs 0.2500 0.6821 0.0869
Y1 Y 0.2500 0.1889 0.0604
Y2 Y 0.2500 0.6889 0.4396
Y3 Y 0.7500 0.8111 0.9396
Y4 Y 0.7500 0.3111 0.5604
I1 I 0.0067 0.6488 0.8889
I2 I 0.7500 0.7175 0.1048
I3 I 0.0000 0.0000 0.0000
I4 I 0.2500 0.0368 0.2042
I5 I 0.5000 0.0000 0.0000
I6 I 0.7500 0.9632 0.7958
I7 I 0.4933 0.6488 0.8889
I8 I 0.0067 0.1488 0.6111
I9 I 0.5067 0.8512 0.3889
I10 I 0.2500 0.2825 0.8952
I11 I 0.9933 0.3512 0.1111
I12 I 0.7500 0.4632 0.7042
I13 I 0.4933 0.1488 0.6111
I14 I 0.0000 0.5000 0.5000
I15 I 0.2500 0.7825 0.6048
I16 I 0.7500 0.2175 0.3952
I17 I 0.2500 0.5368 0.2958
I18 I 0.9933 0.8512 0.3889
I19 I 0.5067 0.3512 0.1111
I20 I 0.5000 0.5000 0.5000

***

# PrSm2Te GGA-PBE optimized geometry
# - formation energy from raw total energies (eV/atom) = -0.516
# - distance to the lowest polymorph of the same formula (meV/atom) = 171
data_PrSm2Te
_chemical_formula_sum 'Pr1 Sm2 Te1'
_symmetry_space_group_name_H-M 'P 1'
_symmetry_Int_Tables_number 1
_symmetry_space_group_name_Hall 'P 1'
_cell_length_a 4.9363
_cell_length_b 4.8874
_cell_length_c 4.8874
_cell_angle_alpha 90.00
_cell_angle_beta 90.00
_cell_angle_gamma 90.00
loop_
_atom_site_label
_atom_site_type_symbol
_atom_site_fract_x
_atom_site_fract_y
_atom_site_fract_z
Pr1 Pr 0.5000 0.0000 0.0000
Sm1 Sm 0.0000 0.5000 0.0000
Sm2 Sm 0.0000 0.0000 0.5000
Te1 Te 0.5000 0.5000 0.5000

***

# LaNpU2P4 GGA-PBE optimized geometry
# - DFT formation energy (eV per atom) = -1.0349
data_LaNpU2P4
_chemical_formula_sum 'La1 Np1 U2 P4'
_symmetry_space_group_name_H-M 'P 1'
_symmetry_Int_Tables_number 1
_symmetry_space_group_name_Hall 'P 1'
_cell_length_a 5.7018
_cell_length_b 5.7018
_cell_length_c 6.9759
_cell_angle_alpha 114.12
_cell_angle_beta 114.12
_cell_angle_gamma 90.00
loop_
_atom_site_label
_atom_site_type_symbol
_atom_site_fract_x
_atom_site_fract_y
_atom_site_fract_z
La1 La 0.5000 0.5000 0.0000
Np1 Np 0.7500 0.2500 0.5000
U1 U 0.0000 0.0000 0.0000
U2 U 0.2500 0.7500 0.5000
P1 P 0.2405 0.2405 0.4811
P2 P 0.4983 0.9983 0.9967
P3 P 0.7595 0.7595 0.5189
P4 P 0.0017 0.5017 0.0033

***

# CdRe3Si GGA-PBE optimized geometry
# - formation energy from raw total energies (eV/atom) = 1.226
# - distance to the lowest polymorph of the same formula (meV/atom) = 0
data_CdRe3Si
_chemical_formula_sum 'Cd1 Re3 Si1'
_symmetry_space_group_name_H-M 'P 1'
_symmetry_Int_Tables_number 1
_symmetry_space_group_name_Hall 'P 1'
_cell_length_a 4.4617
_cell_length_b 4.4617
_cell_length_c 4.4617
_cell_angle_alpha 90.00
_cell_angle_beta 90.00
_cell_angle_gamma 90.00
loop_
_atom_site_label
_atom_site_type_symbol
_atom_site_fract_x
_atom_site_fract_y
_atom_site_fract_z
Si1 Si 0.0000 0.0000 0.0000
Re1 Re 0.0000 0.0000 0.5000
Re2 Re 0.0000 0.5000 0.0000
Re3 Re 0.5000 0.0000 0.0000
Cd1 Cd 0.5000 0.5000 0.5000

***

# Li2HgRhN GGA-PBE optimized geometry
# - formation energy from raw total energies (eV/atom) = -0.299
data_Li2HgRhN
_chemical_formula_sum 'Li2 Hg1 Rh1 N1'
_symmetry_space_group_name_H-M 'P 1'
_symmetry_Int_Tables_number 1
_symmetry_space_group_name_Hall 'P 1'
_cell_length_a 4.3424
_cell_length_b 4.3424
_cell_length_c 3.7658
_cell_angle_alpha 90.00
_cell_angle_beta 90.00
_cell_angle_gamma 90.00
loop_
_atom_site_label
_atom_site_type_symbol
_atom_site_fract_x
_atom_site_fract_y
_atom_site_fract_z
Li1 Li 0.5000 0.0000 0.0000
Li2 Li 0.0000 0.5000 0.0000
Hg1 Hg 0.5000 0.5000 0.5000
N1 N 0.0000 0.0000 0.0000
Rh1 Rh 0.0000 0.0000 0.5000

***

# Pm4Pr5Dy GGA-PBE optimized geometry
# - distance to the lowest polymorph of the same formula (meV/atom) = 0
# - DFT formation energy (eV per atom) = 0.0146
data_Pm4Pr5Dy
_chemical_formula_sum 'Pm4 Pr5 Dy1'
_symmetry_space_group_name_H-M 'P 1'
_symmetry_Int_Tables_number 1
_symmetry_space_group_name_Hall 'P 1'
_cell_length_a 3.6700
_cell_length_b 10.4053
_cell_length_c 9.7070
_cell_angle_alpha 105.57
_cell_angle_beta 100.88
_cell_angle_gamma 89.92
loop_
_atom_site_label
_atom_site_type_symbol
_atom_site_fract_x
_atom_site_fract_y
_atom_site_fract_z
Pm1 Pm 0.9009 0.7042 0.8009
Pm2 Pm 0.2999 0.9001 0.6010
Pm3 Pm 0.0991 0.2958 0.1991
Pm4 Pm 0.7001 0.0999 0.3990
Pr1 Pr 0.6996 0.5999 0.4001
Pr2 Pr 0.5000 0.5000 0.0000
Pr3 Pr 0.3004 0.4001 0.5999
Pr4 Pr 0.0996 0.8035 0.1983
Pr5 Pr 0.9004 0.1965 0.8017
Dy1 Dy 0.5000 0.0000 0.0000

***

# TaGe3Ru GGA-PBE optimized geometry
# - DFT formation energy (eV per atom) = 0.9920
data_TaGe3Ru
_chemical_formula_sum 'Ta1 Ge3 Ru1'
_symmetry_space_group_name_H-M 'P 1'
_symmetry_Int_Tables_number 1
_symmetry_space_group_name_Hall 'P 1'
_cell_length_a 4.8246
_cell_length_b 4.8246
_cell_length_c 4.8246
_cell_angle_alpha 90.00
_cell_angle_beta 90.00
_cell_angle_gamma 90.00
loop_
_atom_site_label
_atom_site_type_symbol
_atom_site_fract_x
_atom_site_fract_y
_atom_site_fract_z
Ge1 Ge 0.5000 0.0000 0.0000
Ge2 Ge 0.0000 0.0000 0.5000
Ge3 Ge 0.0000 0.5000 0.0000
Ru1 Ru 0.0000 0.0000 0.0000
Ta1 Ta 0.5000 0.5000 0.5000

***

# NdSm2Ho9 GGA-PBE optimized geometry
# - distance to the lowest polymorph of the same formula (meV/atom) = 0
# - DFT formation energy (eV per atom) = 0.0218
data_NdSm2Ho9
_chemical_formula_sum 'Nd1 Sm2 Ho9'
_symmetry_space_group_name_H-M 'P 1'
_symmetry_Int_Tables_number 1
_symmetry_space_group_name_Hall 'P 1'
_cell_length_a 5.0256
_cell_length_b 5.0256
_cell_length_c 15.0664
_cell_angle_alpha 90.00
_cell_angle_beta 90.00
_cell_angle_gamma 90.00
loop_
_atom_site_label
_atom_site_type_symbol
_atom_site_fract_x
_atom_site_fract_y
_atom_site_fract_z
Ho1 Ho 0.5000 0.5000 0.6662
Ho2 Ho 0.5000 0.5000 0.0000
Ho3 Ho 0.5000 0.0000 0.8325
Ho4 Ho 0.0000 0.5000 0.1675
Ho5 Ho 0.5000 0.5000 0.3338
Ho6 Ho 0.5000 0.0000 0.5000
Ho7 Ho 0.0000 0.5000 0.5000
Ho8 Ho 0.5000 0.0000 0.1675
Ho9 Ho 0.0000 0.5000 0.8325
Nd1 Nd 0.0000 0.0000 0.0000
Sm1 Sm 0.0000 0.0000 0.3335
Sm2 Sm 0.0000 0.0000 0.6665